No. 1
Material: Ga4Fe3
Method: DFT, GGA-PBE
State: relaxed

Results
Its total energy is -5.535 eV/atom. For the spin magnetization, the calculation gives 0.79 μB/atom. The density of states at the Fermi level is 0.56 states/eV per atom. As for the formation energy: -0.179 eV per atom.

POSCAR file:
```
Ga4Fe3
1.0
5.0312 -3.8260 0.0000
5.0312 3.8260 0.0000
-2.1650 0.0000 7.5053
Ga Fe
12 9
Cartesian
-0.3334 0.0000 2.6064
2.5701 1.4194 3.3823
2.1078 1.5467 6.3690
2.5261 0.0000 0.6225
5.7896 1.5467 1.1363
5.3274 1.4194 4.1230
2.5701 -1.4194 3.3823
2.1078 -1.5467 6.3690
5.3714 0.0000 6.8828
5.7896 -1.5467 1.1363
5.3274 -1.4194 4.1230
8.2308 0.0000 4.8989
0.0000 0.0000 0.0000
3.3380 2.2840 1.1442
0.8609 0.0000 4.8032
4.5595 2.2840 6.3611
4.2890 0.0000 2.3238
3.6084 0.0000 5.1815
3.3380 -2.2840 1.1442
7.0365 0.0000 2.7021
4.5595 -2.2840 6.3611
```

No. 2
Material: CsHg2F5
Method: DFT, GGA-PBE
State: relaxed

Results
As for the uncorrected formation energy: -1.762 eV per atom. Its total energy is -3.114 eV/atom. For the spin magnetization, the calculation gives 0.00 μB/atom. The density of states at the Fermi level is 0.00 states/eV per atom.

POSCAR file:
```
CsHg2F5
1.0
-1.8977 3.0287 6.2128
1.8977 -3.0287 6.2128
1.8977 3.0287 -6.2128
Cs Hg F
1 2 5
Cartesian
0.0000 0.0000 0.0000
1.8977 0.0000 3.9082
0.0000 3.0287 2.3046
1.8977 1.4928 -2.0357
1.8977 1.4928 2.0357
0.0000 3.0287 0.0000
0.0000 1.5359 4.1771
0.0000 1.5359 8.2486
```